Below is ScTaTc2 after structural relaxation, with properties calculated at the GGA-PBE level.

Cell and atoms, written as extended XYZ:
```
4
Lattice="-1.595 2.221 4.686 1.595 -2.221 4.686 1.595 2.221 -4.686" Properties=species:S:1:pos:R:3 pbc="T T T"
Sc 0.000 0.000 0.000
Ta 1.595 0.000 2.509
Tc 0.000 0.000 4.765
Tc 0.000 2.221 2.279
```

Computed properties:
Energy of formation from the pure elements ... -0.280 eV per atom

=====

Below is ScTa2Tc after structural relaxation, with properties calculated at the GGA-PBE level.

Cell and atoms, written as extended XYZ:
```
4
Lattice="2.941 0.000 0.000 0.000 4.586 0.000 -1.200 0.000 5.303" Properties=species:S:1:pos:R:3 pbc="T T T"
Sc 0.000 0.000 0.000
Ta -0.018 2.293 3.891
Ta 1.758 2.293 1.411
Tc 0.870 0.000 2.651
```

Computed properties:
Energy of formation from the pure elements ... -0.042 eV per atom

=====

Below is Sc2Ta2Tc after structural relaxation, with properties calculated at the GGA-PBE level.

Cell and atoms, written as extended XYZ:
```
10
Lattice="6.489 0.000 0.000 0.000 6.489 0.000 0.000 0.000 4.889" Properties=species:S:1:pos:R:3 pbc="T T T"
Sc 1.082 2.162 0.000
Sc 2.162 5.407 0.000
Sc 4.327 1.082 0.000
Sc 5.407 4.327 0.000
Ta 0.952 4.197 2.444
Ta 2.292 0.952 2.444
Ta 4.197 5.536 2.444
Ta 5.536 2.292 2.444
Tc 0.000 0.000 2.444
Tc 3.244 3.244 2.444
```

Computed properties:
Energy of formation from the pure elements ... 0.112 eV per atom

=====

Below is ScTaTc2 after structural relaxation, with properties calculated at the GGA-PBE level.

Cell and atoms, written as extended XYZ:
```
4
Lattice="1.622 -2.329 0.000 1.622 2.329 0.000 0.000 0.000 9.000" Properties=species:S:1:pos:R:3 pbc="T T T"
Sc 0.000 0.000 0.000
Ta 1.622 0.000 2.612
Tc 0.000 0.000 4.730
Tc 1.622 0.000 6.794
```

Computed properties:
Energy of formation from the pure elements ... 0.086 eV per atom